Record 1
Material: Er3Zn11
Method: DFT, GGA-PBE
State: relaxed

Lattice parameters (Å, degrees): 8.070 8.070 8.070 148.41 113.84 75.17
Fractional positions:
Er 0.000 0.000 0.000
Er 0.291 0.291 0.000
Er 0.709 0.709 0.000
Zn 0.016 0.656 0.360
Zn 0.142 0.860 0.282
Zn 0.296 0.656 0.640
Zn 0.322 0.500 0.822
Zn 0.422 0.140 0.282
Zn 0.500 0.000 0.500
Zn 0.578 0.860 0.718
Zn 0.678 0.500 0.178
Zn 0.704 0.344 0.360
Zn 0.858 0.140 0.718
Zn 0.984 0.344 0.640

Computed properties:
Its energy of formation is -0.3165 eV per atom. The value obtained for the density is 8.2 Mg/m³.

Record 2
Material: Li4SnBi
Method: DFT, GGA-PBE
State: relaxed

Lattice parameters (Å, degrees): 4.632 4.632 6.740 90.00 90.00 90.00
Fractional positions:
Li 0.000 0.500 0.237
Li 0.000 0.500 0.763
Li 0.500 0.000 0.237
Li 0.500 0.000 0.763
Sn 0.000 0.000 0.500
Bi 0.500 0.500 0.000

Computed properties:
As for the energy above the most stable polymorph in this dataset: 208 meV/atom. Its energy of formation is -0.1772 eV per atom. The value obtained for the density is 4.1 Mg/m³.

Record 3
Material: Ac3Cd6Ga2Ag
Method: DFT, GGA-PBE
State: relaxed

Lattice parameters (Å, degrees): 6.829 6.829 8.660 90.00 90.00 120.00
Fractional positions:
Ac 0.000 0.000 0.000
Ac 0.333 0.667 0.676
Ac 0.667 0.333 0.324
Cd 0.185 0.371 0.310
Cd 0.185 0.815 0.310
Cd 0.371 0.185 0.690
Cd 0.629 0.815 0.310
Cd 0.815 0.185 0.690
Cd 0.815 0.629 0.690
Ga 0.333 0.667 0.049
Ga 0.667 0.333 0.951
Ag 0.000 0.000 0.500

Computed properties:
Its energy of formation is -0.1114 eV per atom. The value obtained for the density is 7.6 Mg/m³.

Record 4
Material: RbGeBr
Method: DFT, GGA-PBE
State: relaxed

Lattice parameters (Å, degrees): 7.127 7.127 10.004 90.00 90.00 94.21
Fractional positions:
Rb 0.058 0.442 0.250
Rb 0.442 0.058 0.750
Rb 0.558 0.942 0.250
Rb 0.942 0.558 0.750
Ge 0.051 0.949 0.394
Ge 0.449 0.551 0.894
Ge 0.551 0.449 0.106
Ge 0.949 0.051 0.606
Br 0.224 0.776 0.006
Br 0.276 0.724 0.506
Br 0.724 0.276 0.494
Br 0.776 0.224 0.994

Computed properties:
The value obtained for the density is 3.1 Mg/m³. For the final energy, the calculation gives -3.040 eV per atom.

Record 5
Material: MgTl2Hg
Method: DFT, GGA-PBE
State: relaxed

Lattice parameters (Å, degrees): 11.736 11.736 11.736 158.04 158.04 31.26
Fractional positions:
Mg 0.000 0.000 0.000
Mg 0.750 0.250 0.500
Tl 0.122 0.625 0.997
Tl 0.375 0.372 0.497
Tl 0.628 0.125 0.003
Tl 0.875 0.878 0.503
Hg 0.250 0.750 0.500
Hg 0.500 0.500 0.000

Computed properties:
Its energy of formation is 0.0472 eV per atom. The value obtained for the density is 9.3 Mg/m³.

Record 6
Material: Zr2PbCl
Method: DFT, GGA-PBE
State: relaxed

Lattice parameters (Å, degrees): 5.916 5.916 5.916 137.94 137.94 61.00
Fractional positions:
Zr 0.000 0.000 0.000
Zr 0.750 0.250 0.500
Pb 0.500 0.500 0.000
Cl 0.250 0.750 0.500

Computed properties:
As for the energy above the most stable polymorph in this dataset: 502 meV/atom. The value obtained for the density is 7.7 Mg/m³.

Copy entry 4 word for word.
Material: RbGeBr
Method: DFT, GGA-PBE
State: relaxed

Lattice parameters (Å, degrees): 7.127 7.127 10.004 90.00 90.00 94.21
Fractional positions:
Rb 0.058 0.442 0.250
Rb 0.442 0.058 0.750
Rb 0.558 0.942 0.250
Rb 0.942 0.558 0.750
Ge 0.051 0.949 0.394
Ge 0.449 0.551 0.894
Ge 0.551 0.449 0.106
Ge 0.949 0.051 0.606
Br 0.224 0.776 0.006
Br 0.276 0.724 0.506
Br 0.724 0.276 0.494
Br 0.776 0.224 0.994

Computed properties:
The value obtained for the density is 3.1 Mg/m³. For the final energy, the calculation gives -3.040 eV per atom.